HfMg6FeO8 | PBE+U | optimized geometry

Computed properties:
Mass density   5.13 g/cm3
Magnetization   3.13 μB/f.u.
E   -6.4010 eV/atom
Crystal system   tetragonal

a = 4.3079 Å, b = 4.3079 Å, c = 8.8652 Å
α = 90.00°, β = 90.00°, γ = 90.00°
Closest atoms and distances in Å follow each position.
Fractional coordinates of all 16 atoms:
Hf 0.5000 0.5000 0.0000  6 O 2.15-2.28
Mg 0.0000 0.0000 0.5000  6 O 2.10-2.15
Mg 0.5000 0.5000 0.5000  6 O 2.15
Mg 0.0000 0.5000 0.2596  6 O 2.13-2.30
Mg 0.0000 0.5000 0.7404  6 O 2.13-2.30
Mg 0.5000 0.0000 0.2596  6 O 2.13-2.30
Mg 0.5000 0.0000 0.7404  6 O 2.13-2.30
Fe 0.0000 0.0000 0.0000  6 O 2.15-2.33
O 0.0000 0.0000 0.2626  5 Mg 2.10-2.15, 1 Fe 2.33
O 0.0000 0.0000 0.7374  5 Mg 2.10-2.15, 1 Fe 2.33
O 0.5000 0.5000 0.2574  5 Mg 2.15, 1 Hf 2.28
O 0.5000 0.5000 0.7426  5 Mg 2.15, 1 Hf 2.28
O 0.0000 0.5000 0.0000  2 Hf 2.15, 2 Fe 2.15, 2 Mg 2.30
O 0.0000 0.5000 0.5000  6 Mg 2.13-2.15
O 0.5000 0.0000 0.0000  2 Hf 2.15, 2 Fe 2.15, 2 Mg 2.30
O 0.5000 0.0000 0.5000  6 Mg 2.13-2.15